[1]
# ZrNbH2Ru, optimized geometry, DFT GGA-PBEsol
# E: -6.64 eV per atom
# Crystal system: tetragonal
# Total moment: 0.0 Bohr magnetons per cell
data_ZrNbH2Ru
_chemical_formula_sum 'Zr1 Nb1 H2 Ru1'
_space_group_name_H-M_alt 'P 4/m m m'
_space_group_IT_number 123
_space_group_name_Hall '-P 4 2'
_cell_length_a 3.601
_cell_length_b 3.601
_cell_length_c 5.478
_cell_angle_alpha 90.00
_cell_angle_beta 90.00
_cell_angle_gamma 90.00
loop_
_atom_site_label
_atom_site_type_symbol
_atom_site_fract_x
_atom_site_fract_y
_atom_site_fract_z
Zr1 Zr 0.000 0.000 0.000
Nb1 Nb 0.000 0.000 0.500
H1 H 0.000 0.500 0.500
Ru1 Ru 0.500 0.500 0.000


[2]
# Nb4H3S8, optimized geometry, DFT GGA-PBEsol
# E: -6.82 eV per atom
# Crystal system: hexagonal
# Total moment: 0.0 Bohr magnetons per cell
data_Nb4H3S8
_chemical_formula_sum 'Nb4 H3 S8'
_space_group_name_H-M_alt 'P -6 m 2'
_space_group_IT_number 187
_space_group_name_Hall 'P -6 2'
_cell_length_a 3.3075
_cell_length_b 3.3075
_cell_length_c 25.0219
_cell_angle_alpha 90.00
_cell_angle_beta 90.00
_cell_angle_gamma 120.00
loop_
_atom_site_label
_atom_site_type_symbol
_atom_site_fract_x
_atom_site_fract_y
_atom_site_fract_z
Nb1 Nb 0.0000 0.0000 0.0000
Nb2 Nb 0.0000 0.0000 0.5000
Nb3 Nb 0.3333 0.6667 0.2483
H1 H 0.6667 0.3333 0.2482
H2 H 0.6667 0.3333 0.5000
S1 S 0.0000 0.0000 0.1828
S2 S 0.0000 0.0000 0.3138
S3 S 0.3333 0.6667 0.0626
S4 S 0.3333 0.6667 0.4345


[3]
# NbHS2, optimized geometry, DFT GGA-PBEsol
# E: -5.73 eV per atom
# Crystal system: cubic
# Total moment: 1.4 Bohr magnetons per cell
data_NbHS2
_chemical_formula_sum 'Nb4 H4 S8'
_space_group_name_H-M_alt 'F m -3 m'
_space_group_IT_number 225
_space_group_name_Hall '-F 4 2 3'
_cell_length_a 5.965
_cell_length_b 5.965
_cell_length_c 5.965
_cell_angle_alpha 90.00
_cell_angle_beta 90.00
_cell_angle_gamma 90.00
loop_
_atom_site_label
_atom_site_type_symbol
_atom_site_fract_x
_atom_site_fract_y
_atom_site_fract_z
Nb1 Nb 0.000 0.000 0.000
H1 H 0.000 0.000 0.500
S1 S 0.250 0.250 0.250


[4]
# NbTeHS, optimized geometry, DFT GGA-PBEsol
# E: -6.21 eV per atom
# Crystal system: trigonal
# Total moment: 0.0 Bohr magnetons per cell
data_NbTeHS
_chemical_formula_sum 'Nb3 Te3 H3 S3'
_space_group_name_H-M_alt 'R 3 m'
_space_group_IT_number 160
_space_group_name_Hall 'R 3 -2"'
_cell_length_a 3.4338
_cell_length_b 3.4338
_cell_length_c 19.7406
_cell_angle_alpha 90.00
_cell_angle_beta 90.00
_cell_angle_gamma 120.00
loop_
_atom_site_label
_atom_site_type_symbol
_atom_site_fract_x
_atom_site_fract_y
_atom_site_fract_z
Nb1 Nb 0.0000 0.0000 0.0000
Te1 Te 0.0000 0.0000 0.5641
H1 H 0.0000 0.0000 0.3236
S1 S 0.0000 0.0000 0.7452


- Which value of E does entry 3 give?
  -5.73 eV per atom


- Which of these has the lowest E?
  Nb4H3S8